TaTlP4 after structural relaxation. Source: Alexandria via LeMat-Bulk, functional GGA-PBE.

Values from the calculation:
As for the calculated formation energy: 67.93 kJ per mole of atoms.

abc: 5.2323 5.2323 5.2323
angles: 60.00 60.00 60.00
Last column: nearest neighbours and their distance in Å.
Positions (direct):
1 Tl 0.0000 0.0000 0.0000  12 P 3.08, 4 Ta 3.20
2 Ta 0.7500 0.7500 0.7500  12 P 3.06, 4 Tl 3.20
3 P 0.3810 0.3810 0.3810  6 P 2.49-2.74
4 P 0.3810 0.3810 0.8571  6 P 2.49-2.74
5 P 0.8571 0.3810 0.3810  6 P 2.49-2.74
6 P 0.3810 0.8571 0.3810  6 P 2.49-2.74